Model one:
La3Al2Sn3: optimized geometry, PBE.

a b c (Å): 6.2919 6.2919 15.8049
angles (deg): 90.00 90.00 134.28
With the nearest neighbours (Å) after each atom.
Fractional coordinates of all 16 atoms:
1 La 0.0726 0.9274 0.7500  7 Sn 3.34-3.53, 2 Al 3.42
2 La 0.1503 0.8497 0.0374  2 Al 3.17, 6 Sn 3.33-3.53
3 La 0.1503 0.8497 0.4626  2 Al 3.17, 6 Sn 3.33-3.53
4 La 0.8497 0.1503 0.5374  2 Al 3.17, 6 Sn 3.33-3.53
5 La 0.8497 0.1503 0.9626  2 Al 3.17, 6 Sn 3.33-3.53
6 La 0.9274 0.0726 0.2500  7 Sn 3.34-3.53, 2 Al 3.42
7 Al 0.3440 0.6560 0.6654  1 Al 2.68, 3 Sn 2.76-2.87
8 Al 0.3440 0.6560 0.8346  1 Al 2.68, 3 Sn 2.76-2.87
9 Al 0.6560 0.3440 0.1654  1 Al 2.68, 3 Sn 2.76-2.87
10 Al 0.6560 0.3440 0.3346  1 Al 2.68, 3 Sn 2.76-2.87
11 Sn 0.2154 0.7846 0.2500  4 Al 2.87
12 Sn 0.4424 0.5576 0.0888  1 Al 2.76
13 Sn 0.4424 0.5576 0.4112  1 Al 2.76
14 Sn 0.5576 0.4424 0.5888  1 Al 2.76
15 Sn 0.5576 0.4424 0.9112  1 Al 2.76
16 Sn 0.7846 0.2154 0.7500  4 Al 2.87

=====

Model two:
La3Al2Sn3: optimized geometry, PBE.

a b c (Å): 6.4387 6.4387 16.0964
angles (deg): 90.00 90.00 138.59
With the nearest neighbours (Å) after each atom.
Fractional coordinates of all 16 atoms:
1 La 0.0611 0.9389 0.6107  6 Sn 3.29-3.44, 3 Al 3.44
2 La 0.0611 0.9389 0.8893  6 Sn 3.29-3.44, 3 Al 3.44
3 La 0.3478 0.6522 0.7500  4 Al 3.30, 5 Sn 3.37-3.49
4 La 0.6522 0.3478 0.2500  4 Al 3.30, 5 Sn 3.37-3.49
5 La 0.9389 0.0611 0.1107  6 Sn 3.29-3.44, 3 Al 3.44
6 La 0.9389 0.0611 0.3893  6 Sn 3.29-3.44, 3 Al 3.44
7 Al 0.2245 0.7755 0.1121  4 Sn 2.79-3.00
8 Al 0.2245 0.7755 0.3879  4 Sn 2.79-3.00
9 Al 0.7755 0.2245 0.6121  4 Sn 2.79-3.00
10 Al 0.7755 0.2245 0.8879  4 Sn 2.79-3.00
11 Sn 0.3693 0.6307 0.5399  3 Al 2.79-3.00
12 Sn 0.3693 0.6307 0.9601  3 Al 2.79-3.00
13 Sn 0.3723 0.6277 0.2500  2 Al 2.85
14 Sn 0.6277 0.3723 0.7500  2 Al 2.85
15 Sn 0.6307 0.3693 0.0399  3 Al 2.79-3.00
16 Sn 0.6307 0.3693 0.4601  3 Al 2.79-3.00

=====

Energy comparison, zero being the most stable, in meV/atom: model one 84; model two 0.